VASP calculation (PBE) on a relaxed structure of Nb2In2P.

Results
Energy above the lowest structure with this stoichiometry ... 589 meV per atom
ΔH_f (0 K) ... 380 meV/atom
M_tot ... 0.0000 μB per atom

```
data_Nb2In2P
_chemical_formula_sum 'Nb4 In4 P2'
_cell_length_a 3.741
_cell_length_b 3.741
_cell_length_c 14.670
_cell_angle_alpha 90.00
_cell_angle_beta 90.00
_cell_angle_gamma 90.00
_space_group_name_H-M_alt 'I 4/m m m'
_space_group_IT_number 139
_space_group_name_Hall '-I 4 2'
loop_
_atom_site_label
_atom_site_type_symbol
_atom_site_fract_x
_atom_site_fract_y
_atom_site_fract_z
Nb1 Nb 0.000 0.000 0.087
In1 In 0.000 0.500 0.250
P1 P 0.000 0.000 0.500
```